No. 1
Density functional theory data (PBE-GGA) for a relaxed structure of NaSrNi2Sn4.

The structure in extended XYZ format:
```
8
Lattice="7.406 0.000 0.000 0.000 2.138 5.758 0.000 -2.138 5.758" Properties=species:S:1:pos:R:3 pbc="T T T"
Na 0.000 0.000 5.099
Ni 3.703 0.000 3.271
Ni 0.000 0.000 8.197
Sn 1.470 0.000 1.796
Sn 5.936 0.000 1.796
Sn 2.178 0.000 9.758
Sn 5.228 0.000 9.758
Sr 3.703 0.000 6.386
```

Output
spin magnetization = 0.0 μB/cell
symmetry = Amm2

=====

No. 2
Density functional theory data (PBE-GGA) for a relaxed structure of LiNd3Pt8.

The structure in extended XYZ format:
```
12
Lattice="2.735 1.579 8.933 -2.735 1.579 8.933 0.000 -3.158 8.933" Properties=species:S:1:pos:R:3 pbc="T T T"
Li 0.000 0.000 3.587
Nd 0.000 0.000 0.232
Nd 0.000 0.000 13.218
Nd 0.000 0.000 16.666
Pt 0.000 1.591 10.589
Pt 1.368 0.790 6.112
Pt -1.368 0.790 6.112
Pt 0.000 0.000 8.349
Pt 0.000 -1.580 6.112
Pt 1.377 -0.795 10.589
Pt -1.377 -0.795 10.589
Pt 0.000 0.000 21.741
```

Output
spin magnetization = 0.0 μB/cell
symmetry = R3m

=====

No. 3
Density functional theory data (PBE-GGA) for a relaxed structure of Tl2PtO4.

The structure in extended XYZ format:
```
14
Lattice="-3.029 5.887 1.024 2.025 -1.698 -6.156 -5.195 -3.164 2.808" Properties=species:S:1:pos:R:3 pbc="T T T"
O -0.820 -1.711 -3.445
O -3.342 2.061 0.171
O -2.321 1.204 -2.937
O -1.838 -0.884 -0.362
O -5.916 0.496 1.562
O -3.407 -3.291 -2.019
O -4.908 -0.376 -1.512
O -4.411 -2.450 1.029
Pt 0.000 0.000 0.000
Pt -2.558 2.776 -1.608
Tl -0.266 0.539 -3.882
Tl -5.391 2.750 1.112
Tl -2.864 -1.043 -2.478
Tl -3.877 -0.194 0.600
```

Output
spin magnetization = 3.2 μB/cell
symmetry = Fd-3m

=====

No. 4
Density functional theory data (PBE-GGA) for a relaxed structure of Li2ZnSi.

The structure in extended XYZ format:
```
8
Lattice="-1.448 0.387 -3.999 4.057 -1.134 0.701 -2.061 -7.349 0.035" Properties=species:S:1:pos:R:3 pbc="T T T"
Li -0.520 -1.854 0.009
Li -0.478 -3.206 -2.418
Li 1.027 -4.890 -0.845
Li -1.541 -5.495 0.026
Si 1.731 -2.377 -0.857
Si -1.183 -5.720 -2.406
Zn 0.194 -0.807 -2.429
Zn 0.354 -7.290 -0.834
```

Output
symmetry = P-3m1

=====

No. 5
Density functional theory data (PBE-GGA) for a relaxed structure of Hg2Ge.

The structure in extended XYZ format:
```
6
Lattice="3.868 -7.369 1.318 5.931 -2.663 -5.360 8.078 -0.150 2.391" Properties=species:S:1:pos:R:3 pbc="T T T"
Ge 4.469 -2.545 -0.413
Ge 8.939 -5.091 -0.825
Hg 6.704 -3.818 -0.619
Hg 8.638 -7.503 0.040
Hg 9.669 -5.150 -3.299
Hg 10.743 -3.893 0.576
```

Output
polymorph energy (0 for the lowest one) = 0 meV per atom
symmetry = Fd-3m

=====

No. 6
Density functional theory data (PBE-GGA) for a relaxed structure of LiLuFeSb.

The structure in extended XYZ format:
```
4
Lattice="0.000 3.308 3.308 3.308 0.000 3.308 3.308 3.308 0.000" Properties=species:S:1:pos:R:3 pbc="T T T"
Fe 4.961 4.961 4.961
Li 3.308 3.308 3.308
Lu 1.654 1.654 1.654
Sb 0.000 0.000 0.000
```

Output
spin magnetization = 1.3 μB/cell
polymorph energy (0 for the lowest one) = 258 meV per atom
symmetry = F-43m

=====

No. 7
Density functional theory data (PBE-GGA) for a relaxed structure of MgScCdCu.

The structure in extended XYZ format:
```
4
Lattice="-1.087 -4.498 0.759 -4.080 -1.117 2.024 -3.383 -2.052 -2.518" Properties=species:S:1:pos:R:3 pbc="T T T"
Cd -2.138 -1.917 0.066
Cu 0.000 0.000 0.000
Mg -6.413 -5.750 0.199
Sc -4.275 -3.833 0.133
```

Output
spin magnetization = 0.0 μB/cell
polymorph energy (0 for the lowest one) = 127 meV per atom
symmetry = F-43m

=====

No. 8
Density functional theory data (PBE-GGA) for a relaxed structure of Bi2Os.

The structure in extended XYZ format:
```
6
Lattice="0.000 4.311 4.311 4.311 0.000 4.311 4.311 4.311 0.000" Properties=species:S:1:pos:R:3 pbc="T T T"
Bi 3.234 3.234 5.389
Bi 3.234 5.389 3.234
Bi 5.389 3.234 3.234
Bi 5.389 5.389 5.389
Os 0.000 0.000 0.000
Os 2.156 2.156 2.156
```

Output
spin magnetization = 3.1 μB/cell
symmetry = Fd-3m

=====

No. 9
Density functional theory data (PBE-GGA) for a relaxed structure of RbHfCuTeSe2.

The structure in extended XYZ format:
```
12
Lattice="8.947 0.000 0.000 0.000 3.995 0.000 -4.101 0.000 9.268" Properties=species:S:1:pos:R:3 pbc="T T T"
Cu 2.076 2.996 3.704
Cu 2.770 0.999 5.563
Hf 0.979 0.999 1.533
Hf 3.867 2.996 7.734
Rb 5.695 0.999 2.696
Rb -0.849 2.996 6.571
Se 8.114 2.996 1.258
Se 0.634 0.999 4.131
Se 4.212 2.996 5.137
Se -3.267 0.999 8.009
Te 3.055 2.996 1.272
Te 1.792 0.999 7.995
```

Output
spin magnetization = 0.0 μB/cell
polymorph energy (0 for the lowest one) = 0 meV per atom
symmetry = P2_1/m

=====

No. 10
Density functional theory data (PBE-GGA) for a relaxed structure of SrTb2Se4.

The structure in extended XYZ format:
```
28
Lattice="12.663 0.000 0.000 0.000 4.165 0.000 0.000 0.000 15.053" Properties=species:S:1:pos:R:3 pbc="T T T"
Se 1.637 3.124 0.480
Se 5.166 3.124 1.161
Se 8.904 3.124 2.613
Se 12.276 1.041 3.250
Se 5.944 1.041 4.276
Se 2.572 3.124 4.913
Se 11.498 3.124 6.366
Se 7.969 3.124 7.046
Se 4.694 1.041 8.007
Se 1.165 1.041 8.687
Se 10.091 1.041 10.140
Se 6.719 3.124 10.776
Se 0.387 3.124 11.803
Se 3.760 1.041 12.440
Se 7.497 1.041 13.892
Se 11.026 1.041 14.572
Sr 3.029 1.041 2.497
Sr 9.361 1.041 5.030
Sr 3.303 3.124 10.023
Sr 9.634 3.124 12.556
Tb 11.585 3.124 1.470
Tb 7.106 1.041 1.668
Tb 0.774 1.041 5.858
Tb 5.254 3.124 6.057
Tb 7.410 1.041 8.996
Tb 11.889 3.124 9.195
Tb 5.558 3.124 13.385
Tb 1.078 1.041 13.583
```

Output
spin magnetization = 0.0 μB/cell
symmetry = Pnma

=====

no.,electronic total energy (eV/atom)
1,-4.11
2,-6.35
3,-4.60
4,-2.81
5,-1.57
6,-4.76
7,-3.20
8,-4.49
9,-5.12
10,-5.51